Record 1
LiAlSe2 after structural relaxation, computed with GGA-PBEsol.

## Properties
Its mass density is 4.1 g/cm³. The symmetry is Amm2 (38). The formation energy without anion corrections is -750 meV/atom.

The structure in POSCAR format:
```
LiAlSe2
1.0
3.597 0.000 0.000
0.000 3.339 0.000
0.000 0.000 13.014
Li Al Se
2 2 4
Direct
0.000 0.000 0.000
0.000 0.500 0.500
0.500 0.000 0.780
0.500 0.500 0.280
0.000 0.000 0.196
0.000 0.500 0.696
0.500 0.000 0.427
0.500 0.500 0.927
```

Record 2
SrMnAu4 after structural relaxation, computed with GGA-PBEsol.

## Properties
Its formation energy is -147 meV per atom. Its mass density is 13.0 g/cm³. The symmetry is F-43m (216).

The structure in POSCAR format:
```
SrMnAu4
1.0
0.000 3.902 3.902
3.902 0.000 3.902
3.902 3.902 0.000
Sr Mn Au
1 1 4
Direct
0.000 0.000 0.000
0.750 0.750 0.750
0.376 0.376 0.376
0.376 0.376 0.873
0.376 0.873 0.376
0.873 0.376 0.376
```

Record 3
YPdPb after structural relaxation, computed with GGA-PBEsol.

## Properties
Its formation energy is -771 meV per atom. Its mass density is 10.2 g/cm³. The symmetry is P-62m (189).

The structure in POSCAR format:
```
YPdPb
1.0
7.670 0.000 0.000
-3.835 6.642 0.000
0.000 0.000 3.872
Y Pd Pb
3 3 3
Direct
0.000 0.401 0.000
0.401 0.000 0.000
0.599 0.599 0.000
0.000 0.000 0.000
0.333 0.667 0.500
0.667 0.333 0.500
0.000 0.735 0.500
0.265 0.265 0.500
0.735 0.000 0.500
```

Record 4
LaCu2Tc after structural relaxation, computed with GGA-PBEsol.

## Properties
Its formation energy is 330 meV per atom. Its mass density is 9.3 g/cm³. The symmetry is P4/mmm (123). The calculation puts the excess energy over the best structure of this formula in the dataset at 0.0 meV per atom.

The structure in POSCAR format:
```
LaCu2Tc
1.0
3.957 0.000 0.000
0.000 3.957 0.000
0.000 0.000 4.155
La Cu Tc
1 2 1
Direct
0.000 0.000 0.000
0.000 0.500 0.500
0.500 0.000 0.500
0.500 0.500 0.000
```

Repeat the first record exactly.
LiAlSe2 after structural relaxation, computed with GGA-PBEsol.

## Properties
Its mass density is 4.1 g/cm³. The symmetry is Amm2 (38). The formation energy without anion corrections is -750 meV/atom.

The structure in POSCAR format:
```
LiAlSe2
1.0
3.597 0.000 0.000
0.000 3.339 0.000
0.000 0.000 13.014
Li Al Se
2 2 4
Direct
0.000 0.000 0.000
0.000 0.500 0.500
0.500 0.000 0.780
0.500 0.500 0.280
0.000 0.000 0.196
0.000 0.500 0.696
0.500 0.000 0.427
0.500 0.500 0.927
```

> What is the mass density in the third record?

10.2 g/cm³

> Look up the mass density of the second one.

13.0 g/cm³